[1]
Computed, not measured: Zr2TlCd at its PBEsol-relaxed geometry at the SCAN level of DFT.

a b c (Å): 5.6429 5.6429 5.6429
angles (deg): 135.93 135.93 64.09
Last column: nearest neighbours and their distance in Å.
Atoms (fractional coordinates):
1 Zr 0.0000 0.0000 0.0000  4 Cd 2.99, 4 Tl 3.19, 4 Zr 3.19
2 Zr 0.7500 0.2500 0.5000  4 Tl 2.99, 4 Zr 3.19, 4 Cd 3.19
3 Tl 0.2500 0.7500 0.5000  8 Zr 2.99-3.19, 4 Cd 3.19
4 Cd 0.5000 0.5000 0.0000  8 Zr 2.99-3.19, 4 Tl 3.19

## Properties
E_form, kJ/mol of formula units: -58
M_tot, μB per formula unit: 0.00

=====

[2]
Computed, not measured: CaCuAg2 at its PBEsol-relaxed geometry at the SCAN level of DFT.

a b c (Å): 3.4563 3.4563 6.2412
angles (deg): 90.00 90.00 90.00
Last column: nearest neighbours and their distance in Å.
Atoms (fractional coordinates):
1 Ca 0.0000 0.0000 0.0000  6 Ag 2.96-3.28, 4 Cu 3.02
2 Cu 0.5000 0.5000 0.2853  5 Ag 2.61-2.71
3 Ag 0.0000 0.0000 0.4739  4 Cu 2.71, 4 Ag 2.83, 1 Ca 2.96
4 Ag 0.5000 0.5000 0.7037  1 Cu 2.61, 4 Ag 2.83

## Properties
E_form, kJ/mol of formula units: -17
M_tot, μB per formula unit: 0.00
Distance to the lowest polymorph of the same formula, kJ/mol of formula units: 0

=====

[3]
Computed, not measured: YMg2Br at its PBEsol-relaxed geometry at the SCAN level of DFT.

a b c (Å): 5.8616 5.8616 3.4645
angles (deg): 90.00 90.00 119.94
Last column: nearest neighbours and their distance in Å.
Atoms (fractional coordinates):
1 Y 0.0000 0.0000 0.0000  2 Br 2.93
2 Mg 0.0000 0.5000 0.5000  2 Mg 2.93
3 Mg 0.5000 0.0000 0.5000  2 Mg 2.93
4 Br 0.5000 0.5000 0.0000  2 Y 2.93

## Properties
Total energy, hartree per atom: -0.5376
M_tot, μB per formula unit: 0.00